(1)
VASP calculation (PBEsol) on an optimized crystal structure of Fe2MoP.

Lattice parameters (Å, degrees): 2.8364 4.0358 8.0389 90.00 90.00 90.00
Space group Imm2 (No. 44)
Unique sites:
Fe  0.0000  0.0000  0.0000 [2 per cell]
Fe  0.0000  0.5000  0.2242 [2 per cell]
Mo  0.0000  0.5000  0.7735 [2 per cell]
P  0.0000  0.0000  0.5196 [2 per cell]

Results
Volume (Å³ per cell): 92
Magnetization (μB/f.u.): 0.87
Energy of formation (eV/atom): -0.22
DOS at the Fermi energy (states/eV per atom): 0.82

(2)
VASP calculation (PBEsol) on an optimized crystal structure of FeMoPS2.

Lattice parameters (Å, degrees): 4.2670 4.2670 4.3027 90.00 90.00 90.00
Space group P4/mmm (No. 123)
Unique sites:
Fe  0.0000  0.0000  0.0000 [1 per cell]
Mo  0.5000  0.5000  0.5000 [1 per cell]
P  0.0000  0.0000  0.5000 [1 per cell]
S  0.0000  0.5000  0.0000 [2 per cell]

Results
Energy relative to the elements, uncorrected (kcal/mol of atoms): 15.3
Volume (Å³ per cell): 78
Magnetization (μB/f.u.): 0.69
DOS at the Fermi energy (states/eV per atom): 0.76

(3)
VASP calculation (PBEsol) on an optimized crystal structure of Fe2MoPb.

Lattice parameters (Å, degrees): 3.8631 3.8631 7.9525 90.00 90.00 90.00
Space group I-4m2 (No. 119)
Unique sites:
Fe  0.0000  0.0000  0.0000 [2 per cell]
Fe  0.0000  0.5000  0.2500 [2 per cell]
Mo  0.0000  0.0000  0.5000 [2 per cell]
Pb  0.0000  0.5000  0.7500 [2 per cell]

Results
Volume (Å³ per cell): 119
Magnetization (μB/f.u.): 4.17
Energy of formation (eV/atom): 0.60
DOS at the Fermi energy (states/eV per atom): 1.22

(4)
VASP calculation (PBEsol) on an optimized crystal structure of FeMoPb2.

Lattice parameters (Å, degrees): 4.0053 4.0053 9.4320 90.00 90.00 90.00
Space group I-4m2 (No. 119)
Unique sites:
Fe  0.0000  0.0000  0.0000 [2 per cell]
Mo  0.0000  0.5000  0.2500 [2 per cell]
Pb  0.0000  0.0000  0.5000 [2 per cell]
Pb  0.0000  0.5000  0.7500 [2 per cell]

Results
Volume (Å³ per cell): 151
Magnetization (μB/f.u.): 2.07
Energy of formation (eV/atom): 0.84
DOS at the Fermi energy (states/eV per atom): 0.92

(5)
VASP calculation (PBEsol) on an optimized crystal structure of FeMoPb.

Lattice parameters (Å, degrees): 2.9993 2.9993 11.0160 90.00 90.00 90.00
Space group I4mm (No. 107)
Unique sites:
Fe  0.0000  0.0000  0.0000 [2 per cell]
Mo  0.0000  0.0000  0.3822 [2 per cell]
Pb  0.0000  0.0000  0.6796 [2 per cell]

Results
Volume (Å³ per cell): 99
Magnetization (μB/f.u.): 1.13
Energy of formation (eV/atom): 0.55
DOS at the Fermi energy (states/eV per atom): 1.09

(6)
VASP calculation (PBEsol) on an optimized crystal structure of FeMo2Pb.

Lattice parameters (Å, degrees): 3.9278 4.3486 7.5548 90.00 90.00 90.00
Space group Cmmm (No. 65)
Unique sites:
Fe  0.0000  0.0000  0.0000 [2 per cell]
Mo  0.0000  0.5000  0.2017 [4 per cell]
Pb  0.0000  0.0000  0.5000 [2 per cell]

Results
Volume (Å³ per cell): 129
Magnetization (μB/f.u.): 1.37
Energy of formation (eV/atom): 0.55
DOS at the Fermi energy (states/eV per atom): 0.99